*P*
PBE ZrRe2Au, optimized geometry; N(E_F) = 3.68 states/eV/f.u.
1.0
3.9744 0.0000 0.0000
0.0000 3.9744 0.0000
0.0000 0.0000 8.6872
Zr Re Au
2 4 2
Direct
0.0000 0.0000 0.0000
0.5000 0.5000 0.5000
0.0000 0.5000 0.2500
0.0000 0.5000 0.7500
0.5000 0.0000 0.2500
0.5000 0.0000 0.7500
0.0000 0.0000 0.5000
0.5000 0.5000 0.0000



*Q*
PBE ZrRe2Au, optimized geometry; N(E_F) = 2.70 states/eV/f.u.
1.0
6.5033 0.0000 0.0000
0.0000 6.5033 0.0000
0.0000 0.0000 6.5033
Zr Re Au
4 8 4
Direct
0.0000 0.0000 0.0000
0.0000 0.5000 0.5000
0.5000 0.0000 0.5000
0.5000 0.5000 0.0000
0.0000 0.0000 0.5000
0.0000 0.5000 0.0000
0.2500 0.2500 0.2500
0.2500 0.7500 0.7500
0.5000 0.0000 0.0000
0.5000 0.5000 0.5000
0.7500 0.2500 0.7500
0.7500 0.7500 0.2500
0.2500 0.2500 0.7500
0.2500 0.7500 0.2500
0.7500 0.2500 0.2500
0.7500 0.7500 0.7500



Decreasing stability: *Q*, *P*



*P*
PBE ZrRe2Au, optimized geometry; N(E_F) = 3.09 states/eV/f.u.
1.0
3.2693 0.0000 0.0000
0.0000 4.4698 0.0000
0.0000 0.0000 9.3319
Zr Re Au
2 4 2
Direct
0.0000 0.0000 0.0000
0.5000 0.5000 0.0000
0.0000 0.5000 0.2499
0.0000 0.5000 0.7501
0.5000 0.0000 0.2499
0.5000 0.0000 0.7501
0.0000 0.0000 0.5000
0.5000 0.5000 0.5000



*Q*
PBE ZrRe2Au, optimized geometry; N(E_F) = 5.28 states/eV/f.u.
1.0
2.7424 0.0000 0.0000
0.0000 2.7424 0.0000
0.0000 0.0000 9.1231
Zr Re Au
1 2 1
Direct
0.0000 0.0000 0.0000
0.5000 0.5000 0.2586
0.5000 0.5000 0.7414
0.0000 0.0000 0.5000



Decreasing stability: *P*, *Q*



*P*
PBE RhAu2, optimized geometry; N(E_F) = 4.02 states/eV/f.u.
1.0
0.0000 3.7963 3.7963
3.7963 0.0000 3.7963
3.7963 3.7963 0.0000
Rh Au
2 4
Direct
0.1250 0.1250 0.1250
0.8750 0.8750 0.8750
0.0000 0.5000 0.5000
0.5000 0.0000 0.5000
0.5000 0.5000 0.0000
0.5000 0.5000 0.5000



*Q*
PBE RhAu2, optimized geometry; N(E_F) = 3.85 states/eV/f.u.
1.0
9.0336 0.0000 0.0000
0.0000 3.9934 0.0000
-1.7937 0.0000 5.5778
Rh Au
4 8
Direct
0.1652 0.0000 0.0697
0.3348 0.5000 0.9303
0.6652 0.5000 0.0697
0.8348 0.0000 0.9303
0.0022 0.5000 0.7577
0.1697 0.0000 0.5870
0.3303 0.5000 0.4130
0.4978 0.0000 0.2423
0.5022 0.0000 0.7577
0.6697 0.5000 0.5870
0.8303 0.0000 0.4130
0.9978 0.5000 0.2423



Decreasing stability: *Q*, *P*



*P*
PBE RhAu2, optimized geometry; N(E_F) = 3.73 states/eV/f.u.
1.0
2.8683 0.0000 0.0000
-1.4341 2.4840 0.0000
0.0000 0.0000 7.0518
Rh Au
1 2
Direct
0.0000 0.0000 0.0000
0.3333 0.6667 0.6738
0.6667 0.3333 0.3262



*Q*
PBE RhAu2, optimized geometry; N(E_F) = 4.00 states/eV/f.u.
1.0
10.7461 0.0000 0.0000
0.0000 2.8566 0.0000
-1.9987 0.0000 6.5814
Rh Au
4 8
Direct
0.0000 0.0000 0.0000
0.1528 0.5000 0.3059
0.5000 0.5000 0.0000
0.6528 0.0000 0.3059
0.1023 0.5000 0.7183
0.2766 0.0000 0.0505
0.3228 0.0000 0.6526
0.4411 0.5000 0.3805
0.6023 0.0000 0.7183
0.7766 0.5000 0.0505
0.8228 0.5000 0.6526
0.9411 0.0000 0.3805



Decreasing stability: *P*, *Q*



*P*
PBE RhAu2, optimized geometry; N(E_F) = 3.61 states/eV/f.u.
1.0
3.4010 0.0000 0.0000
0.0000 3.4010 0.0000
0.0000 0.0000 8.7827
Rh Au
2 4
Direct
0.0000 0.0000 0.0000
0.5000 0.5000 0.5000
0.0000 0.0000 0.3358
0.0000 0.0000 0.6642
0.5000 0.5000 0.1642
0.5000 0.5000 0.8358



*Q*
PBE RhAu2, optimized geometry; N(E_F) = 4.10 states/eV/f.u.
1.0
2.8132 0.0000 0.0000
0.0000 14.8815 0.0000
0.0000 0.0000 4.8210
Rh Au
4 8
Direct
0.0000 0.1090 0.2500
0.0000 0.8910 0.7500
0.5000 0.3910 0.7500
0.5000 0.6090 0.2500
0.0000 0.2244 0.7500
0.0000 0.4437 0.2500
0.0000 0.5563 0.7500
0.0000 0.7756 0.2500
0.5000 0.0563 0.7500
0.5000 0.2756 0.2500
0.5000 0.7244 0.7500
0.5000 0.9437 0.2500



*R*
PBE RhAu2, optimized geometry; N(E_F) = 3.54 states/eV/f.u.
1.0
5.0021 0.0000 0.0000
0.0000 8.6276 0.0000
-1.6175 0.0000 4.6609
Rh Au
4 8
Direct
0.0000 0.0731 0.2500
0.0000 0.9269 0.7500
0.5000 0.4269 0.7500
0.5000 0.5731 0.2500
0.0000 0.2491 0.7500
0.0000 0.4136 0.2500
0.0000 0.5864 0.7500
0.0000 0.7509 0.2500
0.5000 0.0864 0.7500
0.5000 0.2509 0.2500
0.5000 0.7491 0.7500
0.5000 0.9136 0.2500



Decreasing stability: *R*, *Q*, *P*



*P*
PBE RhAu2, optimized geometry; N(E_F) = 4.45 states/eV/f.u.
1.0
2.4635 1.4223 4.7915
-2.4635 1.4223 4.7915
0.0000 -2.8446 4.7915
Rh Au
2 4
Direct
0.1672 0.1672 0.1672
0.8328 0.8328 0.8328
0.0000 0.3301 0.6699
0.3301 0.6699 0.0000
0.5000 0.5000 0.5000
0.6699 0.0000 0.3301



*Q*
PBE RhAu2, optimized geometry; N(E_F) = 3.01 states/eV/f.u.
1.0
6.4838 0.0000 0.0000
0.0000 6.4838 0.0000
0.0000 0.0000 5.0806
Rh Au
4 8
Direct
0.0000 0.0000 0.2500
0.0000 0.0000 0.7500
0.5000 0.5000 0.2500
0.5000 0.5000 0.7500
0.1557 0.3443 0.0000
0.1557 0.6557 0.5000
0.3443 0.1557 0.5000
0.3443 0.8443 0.0000
0.6557 0.1557 0.0000
0.6557 0.8443 0.5000
0.8443 0.3443 0.5000
0.8443 0.6557 0.0000



Decreasing stability: *P*, *Q*



*P*
PBE RhAu2, optimized geometry; N(E_F) = 1.96 states/eV/f.u.
1.0
4.7096 0.0000 0.0000
0.0000 4.7096 0.0000
0.0000 0.0000 2.7230
Rh Au
1 2
Direct
0.0000 0.0000 0.0000
0.0000 0.5000 0.5000
0.5000 0.0000 0.5000



*Q*
PBE RhAu2, optimized geometry; N(E_F) = 3.74 states/eV/f.u.
1.0
10.7723 0.0000 0.0000
0.0000 2.8682 0.0000
-2.0388 0.0000 6.5341
Rh Au
4 8
Direct
0.1980 0.0000 0.1177
0.3020 0.5000 0.8823
0.6980 0.5000 0.1177
0.8020 0.0000 0.8823
0.0180 0.5000 0.8031
0.1456 0.0000 0.5410
0.3544 0.5000 0.4590
0.4820 0.0000 0.1969
0.5180 0.0000 0.8031
0.6456 0.5000 0.5410
0.8544 0.0000 0.4590
0.9820 0.5000 0.1969



Decreasing stability: *Q*, *P*



*P*
PBE RhAu5, optimized geometry; N(E_F) = 3.19 states/eV/f.u.
1.0
11.0028 0.0000 0.0000
0.0000 2.8552 0.0000
-1.9653 0.0000 6.6680
Rh Au
2 10
Direct
0.0000 0.0000 0.0000
0.5000 0.5000 0.0000
0.1082 0.5000 0.7306
0.1640 0.5000 0.3265
0.2824 0.0000 0.0552
0.3344 0.0000 0.6712
0.4453 0.5000 0.3879
0.6082 0.0000 0.7306
0.6640 0.0000 0.3265
0.7824 0.5000 0.0552
0.8344 0.5000 0.6712
0.9453 0.0000 0.3879



*Q*
PBE RhAu5, optimized geometry; N(E_F) = 6.81 states/eV/f.u.
1.0
5.3768 0.0000 0.0000
-2.6884 4.6565 0.0000
0.0000 0.0000 4.7662
Rh Au
1 5
Direct
0.0000 0.0000 0.0000
0.0000 0.5000 0.5000
0.3333 0.6667 0.0000
0.5000 0.0000 0.5000
0.5000 0.5000 0.5000
0.6667 0.3333 0.0000



*R*
PBE RhAu5, optimized geometry; N(E_F) = 3.60 states/eV/f.u.
1.0
0.0000 3.8318 3.8318
3.8318 0.0000 3.8318
3.8318 3.8318 0.0000
Rh Au
1 5
Direct
0.0000 0.0000 0.0000
0.1247 0.6251 0.6251
0.2500 0.2500 0.2500
0.6251 0.1247 0.6251
0.6251 0.6251 0.1247
0.6251 0.6251 0.6251



*S*
PBE RhAu5, optimized geometry; N(E_F) = 3.55 states/eV/f.u.
1.0
4.9396 0.0000 0.0000
0.0000 14.8129 0.0000
0.0000 0.0000 2.8781
Rh Au
2 10
Direct
0.0000 0.0000 0.0000
0.5000 0.5000 0.0000
0.0000 0.1606 0.5000
0.0000 0.3308 0.0000
0.0000 0.5000 0.5000
0.0000 0.6692 0.0000
0.0000 0.8394 0.5000
0.5000 0.0000 0.5000
0.5000 0.1692 0.0000
0.5000 0.3394 0.5000
0.5000 0.6606 0.5000
0.5000 0.8308 0.0000



Decreasing stability: *P*, *S*, *R*, *Q*



*P*
PBE Ru2RhAu, optimized geometry; N(E_F) = 5.19 states/eV/f.u.
1.0
7.1219 0.0000 0.0000
0.0000 7.1219 0.0000
0.0000 0.0000 5.2825
Ru Rh Au
8 4 4
Direct
0.2116 0.2500 0.1250
0.2500 0.7116 0.3750
0.2500 0.7884 0.8750
0.2884 0.2500 0.6250
0.7116 0.7500 0.6250
0.7500 0.2116 0.8750
0.7500 0.2884 0.3750
0.7884 0.7500 0.1250
0.0000 0.0000 0.0000
0.0000 0.5000 0.2500
0.5000 0.0000 0.7500
0.5000 0.5000 0.5000
0.0000 0.0000 0.5000
0.0000 0.5000 0.7500
0.5000 0.0000 0.2500
0.5000 0.5000 0.0000



*Q*
PBE Ru2RhAu, optimized geometry; N(E_F) = 4.60 states/eV/f.u.
1.0
2.7695 0.0000 0.0000
0.0000 3.8432 0.0000
0.0000 0.0000 5.6268
Ru Rh Au
2 1 1
Direct
0.0000 0.0000 0.0000
0.5000 0.5000 0.2168
0.5000 0.5000 0.7539
0.0000 0.0000 0.4906



Decreasing stability: *Q*, *P*



*P*
PBE Ru2RhAu, optimized geometry; N(E_F) = 7.74 states/eV/f.u.
1.0
3.8907 0.0000 0.0000
0.0000 3.8907 0.0000
0.0000 0.0000 3.9472
Ru Rh Au
2 1 1
Direct
0.0000 0.5000 0.0000
0.5000 0.0000 0.0000
0.0000 0.0000 0.5000
0.5000 0.5000 0.5000



*Q*
PBE Ru2RhAu, optimized geometry; N(E_F) = 5.29 states/eV/f.u.
1.0
9.1464 0.0000 0.0000
0.0000 2.7604 0.0000
-0.8214 0.0000 4.7343
Ru Rh Au
4 2 2
Direct
0.0000 0.0000 0.0000
0.2424 0.5000 0.2174
0.5000 0.5000 0.0000
0.7424 0.0000 0.2174
0.4886 0.0000 0.4670
0.9886 0.5000 0.4670
0.2440 0.0000 0.7238
0.7440 0.5000 0.7238



Decreasing stability: *Q*, *P*



*P*
PBE Ru2RhAu, optimized geometry; N(E_F) = 4.95 states/eV/f.u.
1.0
2.7640 0.0000 0.0000
0.0000 2.7640 0.0000
0.0000 0.0000 7.8594
Ru Rh Au
2 1 1
Direct
0.0000 0.0000 0.0000
0.5000 0.5000 0.2211
0.5000 0.5000 0.7603
0.0000 0.0000 0.4921



*Q*
PBE Ru2RhAu, optimized geometry; N(E_F) = 6.85 states/eV/f.u.
1.0
3.8663 0.0000 0.0000
0.0000 3.8663 0.0000
0.0000 0.0000 7.9829
Ru Rh Au
4 2 2
Direct
0.0000 0.5000 0.2500
0.0000 0.5000 0.7500
0.5000 0.0000 0.2500
0.5000 0.0000 0.7500
0.0000 0.0000 0.0000
0.5000 0.5000 0.5000
0.0000 0.0000 0.5000
0.5000 0.5000 0.0000



*R*
PBE Ru2RhAu, optimized geometry; N(E_F) = 7.67 states/eV/f.u.
1.0
6.2500 0.0000 0.0000
0.0000 6.2500 0.0000
0.0000 0.0000 6.2500
Ru Rh Au
8 4 4
Direct
0.2500 0.2500 0.2500
0.2500 0.2500 0.7500
0.2500 0.7500 0.2500
0.2500 0.7500 0.7500
0.7500 0.2500 0.2500
0.7500 0.2500 0.7500
0.7500 0.7500 0.2500
0.7500 0.7500 0.7500
0.0000 0.0000 0.0000
0.0000 0.5000 0.5000
0.5000 0.0000 0.5000
0.5000 0.5000 0.0000
0.0000 0.0000 0.5000
0.0000 0.5000 0.0000
0.5000 0.0000 0.0000
0.5000 0.5000 0.5000



*S*
PBE Ru2RhAu, optimized geometry; N(E_F) = 5.93 states/eV/f.u.
1.0
2.7471 0.0000 0.0000
0.0000 2.7471 0.0000
0.0000 0.0000 7.9324
Ru Rh Au
2 1 1
Direct
0.0000 0.0000 0.2353
0.0000 0.0000 0.7647
0.5000 0.5000 0.0000
0.5000 0.5000 0.5000



Decreasing stability: *P*, *S*, *Q*, *R*